No. 1
AcCePuCd: relaxed, PBE.

Unit cell a=5.560 b=5.560 c=5.560 alpha=60.00 beta=60.00 gamma=60.00
Sites, in units of the cell vectors:
Ac 0.250 0.250 0.250
Cd 0.500 0.500 0.500
Ce 0.750 0.750 0.750
Pu 0.000 0.000 0.000

## Properties
As for the formation energy: 0.0941 eV per atom. The space group is F-43m, No. 216. The calculation puts the density of states at the Fermi level at 13.2 states/eV/cell. As for the total energy: -6.23 eV/atom.


No. 2
AcCeCdSn: relaxed, PBE.

Unit cell a=5.615 b=5.615 c=5.615 alpha=60.00 beta=60.00 gamma=60.00
Sites, in units of the cell vectors:
Ac 0.250 0.250 0.250
Sn 0.000 0.000 0.000
Ce 0.750 0.750 0.750
Cd 0.500 0.500 0.500

## Properties
As for the formation energy: -0.3893 eV per atom. The space group is F-43m, No. 216. The calculation puts the density of states at the Fermi level at 10.4 states/eV/cell. As for the total energy: -4.13 eV/atom.


No. 3
AcTbCeCd: relaxed, PBE.

Unit cell a=5.636 b=5.636 c=5.636 alpha=60.00 beta=60.00 gamma=60.00
Sites, in units of the cell vectors:
Ac 0.750 0.750 0.750
Tb 0.000 0.000 0.000
Ce 0.500 0.500 0.500
Cd 0.250 0.250 0.250

## Properties
As for the formation energy: 0.1128 eV per atom. The space group is F-43m, No. 216. The calculation puts the density of states at the Fermi level at 10.4 states/eV/cell. As for the total energy: -3.78 eV/atom.